Entry 1:
A geometry-optimized HgBi2Pb5 structure, computed with PBE.

Properties
VASP energy	-3.2713	eV/atom
D(E_F)	0.575	states/eV/atom
DFT formation energy	42	kJ/mol of formula units

Lattice parameters (Å, degrees): 6.9207 6.9207 13.8336 90.00 90.00 129.65
Positions (direct):
Hg1 0.1722 0.8278 0.7500
Hg2 0.8278 0.1722 0.2500
Bi1 0.3368 0.6632 0.1258
Bi2 0.3368 0.6632 0.3742
Bi3 0.6632 0.3368 0.6258
Bi4 0.6632 0.3368 0.8742
Pb1 0.0927 0.9073 0.2500
Pb2 0.1303 0.8697 0.5169
Pb3 0.1303 0.8697 0.9831
Pb4 0.4029 0.5971 0.6231
Pb5 0.4029 0.5971 0.8769
Pb6 0.5971 0.4029 0.1231
Pb7 0.5971 0.4029 0.3769
Pb8 0.8697 0.1303 0.0169
Pb9 0.8697 0.1303 0.4831
Pb10 0.9073 0.0927 0.7500

***

Entry 2:
A geometry-optimized Ac2PrNd structure, computed with PBE.

Properties
VASP energy	-4.4191	eV/atom
D(E_F)	1.578	states/eV/atom
DFT formation energy	8	kJ/mol of formula units

Lattice parameters (Å, degrees): 3.8730 5.3335 7.7454 90.00 90.00 90.00
Positions (direct):
Ac1 0.0000 0.0000 0.2493
Ac2 0.0000 0.0000 0.7507
Pr1 0.5000 0.5000 0.5000
Nd1 0.5000 0.5000 0.0000

***

Entry 3:
A geometry-optimized Rb2TlIr structure, computed with PBE.

Properties
VASP energy	-2.3901	eV/atom
D(E_F)	0.589	states/eV/atom
DFT formation energy	348	kJ/mol of formula units

Lattice parameters (Å, degrees): 12.4228 12.4228 12.4228 159.20 159.20 29.58
Positions (direct):
Rb1 0.1172 0.6250 0.9922
Rb2 0.3750 0.3672 0.4922
Rb3 0.6328 0.1250 0.0078
Rb4 0.8750 0.8828 0.5078
Tl1 0.2500 0.7500 0.5000
Tl2 0.5000 0.5000 0.0000
Ir1 0.0000 0.0000 0.0000
Ir2 0.7500 0.2500 0.5000

***

Entry 4:
A geometry-optimized Ac6Te5I structure, computed with PBE.

Properties
VASP energy	-4.8686	eV/atom
energy relative to the elements, uncorrected	-133	kJ per mole of atoms
D(E_F)	0.601	states/eV/atom

Lattice parameters (Å, degrees): 8.0727 8.0727 8.4251 99.21 99.21 120.15
Positions (direct):
Ac1 0.0696 0.4131 0.7413
Ac2 0.2395 0.2395 0.2519
Ac3 0.4131 0.0696 0.7413
Ac4 0.5869 0.9304 0.2587
Ac5 0.7605 0.7605 0.7481
Ac6 0.9304 0.5869 0.2587
Te1 0.0000 0.0000 0.5000
Te2 0.1684 0.8316 0.0000
Te3 0.3384 0.6616 0.5000
Te4 0.6616 0.3384 0.5000
Te5 0.8316 0.1684 0.0000
I1 0.5000 0.5000 0.0000

***

Entry 5:
A geometry-optimized GePdRuPb2 structure, computed with PBE.

Properties
VASP energy	-4.5695	eV/atom
D(E_F)	0.888	states/eV/atom
DFT formation energy	353	kJ/mol of formula units

Lattice parameters (Å, degrees): 5.1630 5.1630 5.0317 90.00 90.00 90.00
Positions (direct):
Ge1 0.0000 0.0000 0.0000
Pd1 0.5000 0.5000 0.0000
Ru1 0.5000 0.5000 0.5000
Pb1 0.0000 0.5000 0.5000
Pb2 0.5000 0.0000 0.5000

***

Entry 6:
A geometry-optimized TaTiCu2Ir structure, computed with PBE.

Properties
VASP energy	-6.3021	eV/atom
D(E_F)	0.630	states/eV/atom
DFT formation energy	510	kJ/mol of formula units

Lattice parameters (Å, degrees): 4.6011 4.6011 4.4866 90.00 90.00 90.00
Positions (direct):
Ta1 0.0000 0.0000 0.0000
Ti1 0.5000 0.5000 0.0000
Cu1 0.0000 0.5000 0.5000
Cu2 0.5000 0.0000 0.5000
Ir1 0.5000 0.5000 0.5000

***

What is the D(E_F) in the fifth record? 0.888 states/eV/atom

***

Look up the VASP energy of the fourth one. -4.8686 eV/atom

***

What is the D(E_F) in the sixth record? 0.630 states/eV/atom

***

Look up the D(E_F) of the fifth one. 0.888 states/eV/atom